A relaxed structure of Na3NiF8. Source: Alexandria via LeMat-Bulk, functional PBE+U.

Cell: 5.3111 5.3111 6.5033 Å, 114.10 114.10 90.00°
Positions (direct):
F 0.6645 0.6645 0.7751
F 0.3355 0.8894 0.2249
F 0.6645 0.1106 0.7751
F 0.1106 0.1106 0.7751
F 0.3355 0.3355 0.2249
F 0.8894 0.8894 0.2249
F 0.8894 0.3355 0.2249
F 0.1106 0.6645 0.7751
Na 0.7500 0.2500 0.5000
Na 0.2500 0.7500 0.5000
Na 0.5000 0.5000 0.0000
Ni 0.0000 0.0000 0.0000

Properties
DFT total energy in eV per cell: -43.7